Entry 1:
! PBE Na5Tl2Te5, optimized geometry; values from VASP
! - DOS at the Fermi energy: 3.92 states/eV/cell
! - Total DFT energy (no corrections): -2.851 eV/atom
! - SG: C2/m, No. 12
! - E_form (uncorrected): -0.60 eV/atom
&SYSTEM
  ibrav = 0, nat = 12, ntyp = 3
/
ATOMIC_SPECIES
Na 22.99 Na.upf
Tl 204.38 Tl.upf
Te 127.60 Te.upf
CELL_PARAMETERS angstrom
7.393 -2.260 0.000
7.393 2.260 0.000
-3.931 0.000 12.316
ATOMIC_POSITIONS angstrom
Na 0.000 0.000 0.000
Na 0.189 0.000 6.664
Na 0.147 0.000 10.530
Na 10.708 0.000 1.787
Na 10.666 0.000 5.652
Tl 3.928 0.000 8.764
Tl 6.927 0.000 3.552
Te 1.604 0.000 3.716
Te 5.377 0.000 1.111
Te 5.427 0.000 6.158
Te 5.478 0.000 11.206
Te 9.250 0.000 8.601

---

Entry 2:
! PBE Ti5MoPt2Rh2, optimized geometry; values from VASP
! - DOS at the Fermi energy: 16.51 states/eV/cell
! - E_form: -38.3 kJ/mol of atoms
! - Total DFT energy (no corrections): -8.106 eV/atom
! - SG: P4/mbm, No. 127
&SYSTEM
  ibrav = 0, nat = 20, ntyp = 4
/
ATOMIC_SPECIES
Ti 47.87 Ti.upf
Mo 95.94 Mo.upf
Pt 195.08 Pt.upf
Rh 102.91 Rh.upf
CELL_PARAMETERS angstrom
10.555 0.000 0.000
0.000 10.555 0.000
0.000 0.000 2.998
ATOMIC_POSITIONS angstrom
Ti 0.000 5.277 0.000
Ti 1.420 1.640 0.000
Ti 1.640 9.135 0.000
Ti 3.637 3.858 0.000
Ti 3.858 6.917 0.000
Ti 5.277 0.000 0.000
Ti 6.697 3.637 0.000
Ti 6.917 6.697 0.000
Ti 8.915 1.420 0.000
Ti 9.135 8.915 0.000
Mo 0.000 0.000 1.499
Mo 5.277 5.277 1.499
Pt 1.605 6.882 1.499
Pt 3.672 1.605 1.499
Pt 6.882 8.950 1.499
Pt 8.950 3.672 1.499
Rh 1.508 3.769 1.499
Rh 3.769 9.046 1.499
Rh 6.786 1.508 1.499
Rh 9.046 6.786 1.499